The following is a GGA-PBE calculation of a relaxed SrCdBr2 crystal, from Alexandria.

Values from the calculation:
Energy relative to the elements, uncorrected in eV per atom: -1.238
Density in g/cm3: 4.846
Excess energy over the best structure of this formula in the dataset in meV/atom: 178

a = 5.5868 Å, b = 5.5868 Å, c = 5.5868 Å
α = 60.00°, β = 60.00°, γ = 60.00°
With the nearest neighbours (Å) after each atom.
Fractional coordinates of all 4 atoms:
1 Sr 0.0000 0.0000 0.0000  8 Br 3.42
2 Cd 0.5000 0.5000 0.5000  8 Br 3.42
3 Br 0.2500 0.2500 0.2500  4 Cd 3.42, 4 Sr 3.42
4 Br 0.7500 0.7500 0.7500  4 Cd 3.42, 4 Sr 3.42

The following is a GGA-PBE calculation of a relaxed InAs2PIr crystal, from Alexandria.

Values from the calculation:
Density in g/cm3: 6.285
Formation energy from the elements in eV/f.u.: 8.626

a = 5.0915 Å, b = 5.0915 Å, c = 4.9724 Å
α = 90.00°, β = 90.00°, γ = 90.00°
With the nearest neighbours (Å) after each atom.
Fractional coordinates of all 5 atoms:
1 In 0.0000 0.0000 0.0000  2 Ir 2.49, 4 As 2.55
2 As 0.0000 0.5000 0.0000  2 In 2.55
3 As 0.5000 0.0000 0.0000  2 In 2.55
4 P 0.5000 0.5000 0.5000  8 As 3.56, 4 Ir 3.60
5 Ir 0.0000 0.0000 0.5000  2 In 2.49

Among the records above, which one has the lowest density? SrCdBr2

The highest density belongs to which entry? InAs2PIr

The lowest density belongs to which entry? SrCdBr2